1.
DFT (PBE-GGA) results for Na2GaHg4 after structural relaxation.

Summary:
Its density of states at the Fermi level is 2.1 states/eV/f.u. For the total energy, the calculation gives -14.518 eV for the cell shown. The crystal system is tetragonal.

Geometry as POSCAR:
```
Na2GaHg4
1.0
5.257 0.000 0.000
0.000 5.257 0.000
0.000 0.000 16.007
Na Ga Hg
4 2 8
Cartesian
0.000 0.000 1.993
0.000 0.000 14.014
2.628 2.628 6.010
2.628 2.628 9.997
0.000 0.000 8.003
2.628 2.628 0.000
0.000 0.000 4.998
0.000 0.000 11.009
0.000 2.628 0.000
0.000 2.628 8.003
2.628 0.000 0.000
2.628 0.000 8.003
2.628 2.628 3.006
2.628 2.628 13.001
```

2.
DFT (PBE-GGA) results for FeCo2 after structural relaxation.

Summary:
Its density of states at the Fermi level is 3.2 states/eV/f.u. For the total energy, the calculation gives -90.454 eV for the cell shown. The crystal system is orthorhombic.

Geometry as POSCAR:
```
FeCo2
1.0
2.861 0.000 0.000
0.000 11.972 0.000
0.000 0.000 3.976
Fe Co
4 8
Cartesian
0.000 1.983 0.000
0.000 9.989 0.000
1.431 4.003 0.000
1.431 7.969 0.000
0.000 0.000 1.988
0.000 3.996 1.988
0.000 5.986 0.000
0.000 7.976 1.988
1.431 0.000 0.000
1.431 1.990 1.988
1.431 5.986 1.988
1.431 9.983 1.988
```

3.
DFT (PBE-GGA) results for Ba4TlCl after structural relaxation.

Summary:
Its density of states at the Fermi level is 10.0 states/eV/f.u. For the total energy, the calculation gives -11.790 eV for the cell shown. The crystal system is cubic. Its formation energy (no corrections) is 0.019 eV per atom.

Geometry as POSCAR:
```
Ba4TlCl
1.0
0.000 5.289 5.289
5.289 0.000 5.289
5.289 5.289 0.000
Ba Tl Cl
4 1 1
Cartesian
3.972 3.972 3.972
6.606 6.606 3.972
6.606 3.972 6.606
3.972 6.606 6.606
7.934 7.934 7.934
0.000 0.000 0.000
```

4.
DFT (PBE-GGA) results for CsNbV2Sb after structural relaxation.

Summary:
Its density of states at the Fermi level is 8.9 states/eV/f.u. For the total energy, the calculation gives -21.086 eV for the cell shown. The crystal system is tetragonal. Its formation energy (no corrections) is 2.439 eV per atom.

Geometry as POSCAR:
```
CsNbV2Sb
1.0
4.765 0.000 0.000
0.000 4.765 0.000
0.000 0.000 5.158
Cs Nb V Sb
1 1 2 1
Cartesian
0.000 0.000 0.000
0.000 0.000 2.579
0.000 2.383 0.000
2.383 0.000 0.000
2.383 2.383 2.579
```

5.
DFT (PBE-GGA) results for LiPmGa after structural relaxation.

Summary:
Its density of states at the Fermi level is 4.6 states/eV/f.u. For the total energy, the calculation gives -40.733 eV for the cell shown. The crystal system is cubic. The relative energy among the computed polymorphs is 224 meV/atom.

Geometry as POSCAR:
```
LiPmGa
1.0
6.787 0.000 0.000
0.000 6.787 0.000
0.000 0.000 6.787
Li Pm Ga
4 4 4
Cartesian
0.000 0.000 0.000
0.000 3.393 3.393
3.393 0.000 3.393
3.393 3.393 0.000
0.000 0.000 3.393
0.000 3.393 0.000
3.393 0.000 0.000
3.393 3.393 3.393
1.697 1.697 5.090
1.697 5.090 1.697
5.090 1.697 1.697
5.090 5.090 5.090
```

6.
DFT (PBE-GGA) results for CsTlCrCl4 after structural relaxation.

Summary:
Its density of states at the Fermi level is 6.6 states/eV/f.u. For the total energy, the calculation gives -57.331 eV for the cell shown. The crystal system is orthorhombic. Its formation energy (no corrections) is -1.205 eV per atom.

Geometry as POSCAR:
```
CsTlCrCl4
1.0
3.763 -6.679 0.000
3.763 6.679 0.000
0.000 0.000 10.204
Cs Tl Cr Cl
2 2 2 8
Cartesian
3.763 4.094 7.653
3.763 -4.094 2.551
3.763 0.000 0.000
3.763 0.000 5.102
3.763 4.607 2.551
3.763 -4.607 7.653
1.805 0.545 7.653
3.763 3.079 0.793
3.763 3.079 4.309
1.805 -0.545 2.551
5.721 0.545 7.653
3.763 -3.079 5.894
3.763 -3.079 9.411
5.721 -0.545 2.551
```

7.
DFT (PBE-GGA) results for La3BiN after structural relaxation.

Summary:
Its density of states at the Fermi level is 3.6 states/eV/f.u. For the total energy, the calculation gives -63.081 eV for the cell shown. The crystal system is triclinic. Its formation energy (no corrections) is -0.910 eV per atom.

Geometry as POSCAR:
```
La3BiN
1.0
6.279 0.000 0.000
-0.217 6.914 0.000
-0.917 -0.780 6.888
La Bi N
6 2 2
Cartesian
1.047 1.641 0.914
0.788 2.576 4.628
0.903 5.974 3.862
4.242 0.161 3.026
4.357 3.559 2.260
4.097 4.494 5.975
1.749 5.235 0.666
3.396 0.900 6.223
-0.162 1.444 2.854
5.306 4.691 4.034
```

8.
DFT (PBE-GGA) results for Ge2Au2Se after structural relaxation.

Summary:
Its density of states at the Fermi level is 1.4 states/eV/f.u. For the total energy, the calculation gives -37.056 eV for the cell shown. The crystal system is tetragonal. The relative energy among the computed polymorphs is 6 meV/atom. Its formation energy (no corrections) is 0.149 eV per atom.

Geometry as POSCAR:
```
Ge2Au2Se
1.0
8.191 0.000 0.000
0.000 8.191 0.000
0.000 0.000 3.044
Ge Au Se
4 4 2
Cartesian
1.575 2.521 0.000
2.521 6.616 0.000
5.670 1.575 0.000
6.616 5.670 0.000
0.968 5.063 1.522
3.128 0.968 1.522
5.063 7.223 1.522
7.223 3.128 1.522
0.000 0.000 0.000
4.095 4.095 0.000
```

| no. | volume (Å³ per atom) |
| --- | --- |
| 1 | 31.60 |
| 2 | 11.35 |
| 3 | 49.33 |
| 4 | 23.42 |
| 5 | 26.05 |
| 6 | 36.63 |
| 7 | 29.90 |
| 8 | 20.42 |